(1)
Entry from the Alexandria database: LiTlPbAu after structural relaxation (PBE-GGA).

Summary:
Electronic total energy = -12.0 eV per formula unit
ΔE_f = -0.17 eV per atom
Symmetry = Cm, No. 8

The structure in extended XYZ format:
```
4
Lattice="-1.816 -2.052 3.720 4.565 -0.119 -0.705 0.199 5.841 0.484" Properties=species:S:1:pos:R:3 pbc="T T T"
Au -0.221 -1.174 2.898
Pb 2.272 2.638 3.372
Li 1.945 -0.224 1.608
Tl -0.351 1.762 1.588
```


(2)
Entry from the Alexandria database: CaScMn2 after structural relaxation (PBE-GGA).

Summary:
Electronic total energy = -24.6 eV per formula unit
ΔE_f = 0.52 eV per atom
Symmetry = F-43m, No. 216

The structure in extended XYZ format:
```
4
Lattice="-4.037 -1.890 2.042 0.245 -2.108 4.419 -2.042 2.194 3.880" Properties=species:S:1:pos:R:3 pbc="T T T"
Ca -2.917 -0.902 5.170
Sc -4.375 -1.353 7.756
Mn 0.000 0.000 0.000
Mn -1.458 -0.451 2.585
```


(3)
Entry from the Alexandria database: Tm8Ir2Rh after structural relaxation (PBE-GGA).

Summary:
Electronic total energy = -66.7 eV per formula unit
ΔE_f = -0.53 eV per atom
Symmetry = Cm, No. 8

The structure in extended XYZ format:
```
11
Lattice="0.765 -5.178 -2.358 3.152 -1.125 6.660 -7.441 0.154 0.416" Properties=species:S:1:pos:R:3 pbc="T T T"
Tm -1.423 -1.254 2.156
Tm -4.385 -5.249 -0.550
Tm -1.816 -3.048 -0.701
Tm -1.767 -2.949 5.553
Tm -4.503 -2.619 3.941
Tm 1.599 -5.971 2.978
Tm 0.917 -3.378 0.910
Tm -2.130 -4.785 2.634
Ir -3.786 -2.793 1.247
Ir 0.199 -3.274 3.596
Rh -4.195 -1.601 6.787
```


(4)
Entry from the Alexandria database: Dy3TlAg2 after structural relaxation (PBE-GGA).

Summary:
Electronic total energy = -23.8 eV per formula unit
ΔE_f = -0.33 eV per atom
Symmetry = P4/mmm, No. 123

The structure in extended XYZ format:
```
6
Lattice="3.618 0.000 0.000 0.000 3.618 0.000 0.000 0.000 11.506" Properties=species:S:1:pos:R:3 pbc="T T T"
Ag 1.809 1.809 1.843
Ag 1.809 1.809 9.663
Dy 0.000 0.000 0.000
Dy 0.000 0.000 7.828
Dy 0.000 0.000 3.678
Tl 1.809 1.809 5.753
```


(5)
Entry from the Alexandria database: Mn2IrCl after structural relaxation (PBE-GGA).

Summary:
Electronic total energy = -28.1 eV per formula unit
E_form (uncorrected) = 0.24 eV per atom
Symmetry = Amm2, No. 38

The structure in extended XYZ format:
```
4
Lattice="-1.795 -1.106 4.887 -3.691 -2.368 3.017 2.399 -3.679 0.051" Properties=species:S:1:pos:R:3 pbc="T T T"
Ir -1.178 -1.395 2.135
Mn 0.226 -0.508 0.114
Mn -2.508 -4.836 5.804
Cl -1.171 -3.991 3.879
```


(6)
Entry from the Alexandria database: TbAg2SO8 after structural relaxation (PBE-GGA).

Summary:
Electronic total energy = -61.0 eV per formula unit
E_form (uncorrected) = -0.58 eV per atom
Symmetry = P-3m1, No. 164

The structure in extended XYZ format:
```
12
Lattice="-0.654 0.536 -5.113 0.645 -4.716 2.049 -6.075 -0.516 0.723" Properties=species:S:1:pos:R:3 pbc="T T T"
O -3.053 -1.455 -2.388
O -0.535 -4.023 1.107
O -3.031 -3.241 0.048
O -0.899 -3.725 -1.736
O -0.894 -1.400 -0.033
O -5.185 -0.971 -0.605
O -5.190 -3.296 -2.308
O -5.549 -0.673 -3.448
Ag -5.039 -3.412 0.287
Ag -1.045 -1.285 -2.627
S 0.000 0.000 0.000
Tb -3.037 -0.258 0.361
```